Computed, not measured: a relaxed Sm5ScTl5 crystal at the GGA-PBE level of DFT.

Formation energy from the elements: -0.15 eV/atom
Calculated total energy: -3.95 eV per atom
Crystal system: monoclinic
ρ: 9.1 g cm⁻³

Cell lengths 5.6769, 9.4061, 7.1502 Å; angles 112.83, 90.00, 107.56 degrees
With the nearest neighbours (Å) after each atom.
Sites, in units of the cell vectors:
Sm: 0.6905 0.3810 0.1856  7 Tl 3.12-3.33
Sm: 0.6420 0.2841 0.6357  6 Tl 3.44-3.67, 4 Sm 3.66-3.67
Sm: 0.0000 0.0000 0.5000  4 Tl 3.23-3.26, 2 Sc 3.58
Sm: 0.3580 0.7159 0.3643  6 Tl 3.44-3.67, 4 Sm 3.66-3.67
Sm: 0.3095 0.6190 0.8144  7 Tl 3.12-3.33
Sc: 0.0000 0.0000 0.0000  6 Tl 2.84-3.05
Tl: 0.8426 0.6851 0.0678  1 Sc 3.05, 4 Sm 3.16-3.29, 1 Tl 3.22
Tl: 0.8423 0.6845 0.6175  1 Sc 3.03, 4 Sm 3.18-3.33, 1 Tl 3.22
Tl: 0.5000 0.0000 0.0000  2 Sc 2.84, 2 Sm 3.12
Tl: 0.1577 0.3155 0.3825  1 Sc 3.03, 4 Sm 3.18-3.33, 1 Tl 3.22
Tl: 0.1574 0.3149 0.9322  1 Sc 3.05, 4 Sm 3.16-3.29, 1 Tl 3.22